[1]
Entry from Alexandria via LeMat-Bulk: a relaxed structure of LiHf2NbH (PBE-GGA).

Output
Its crystal system is tetragonal. The calculation puts the calculated volume at 16.637 A^3/atom. The calculation puts the final energy at -6.358 eV/atom.

a b c (Å): 5.262 3.005 5.262
angles (deg): 90.00 90.00 90.00
Element x y z (fractional)
Hf 0.500 0.000 0.000
Hf 0.000 0.000 0.500
Li 0.000 0.000 0.000
Nb 0.500 0.500 0.500
H 0.000 0.500 0.000

[2]
Entry from Alexandria via LeMat-Bulk: a relaxed structure of In2PtPb (PBE-GGA).

Output
Its crystal system is tetragonal. Its formation energy is 0.0491 eV per atom. The calculation puts the calculated volume at 23.269 A^3/atom. The calculation puts the final energy at -3.757 eV/atom.

a b c (Å): 5.476 5.476 5.476
angles (deg): 130.38 130.38 72.80
Element x y z (fractional)
Pb 0.250 0.750 0.500
In 0.500 0.500 0.000
In 0.000 0.000 0.000
Pt 0.750 0.250 0.500

[3]
Entry from Alexandria via LeMat-Bulk: a relaxed structure of Cs2KRb6F (PBE-GGA).

Output
As for the formation energy without anion corrections: -0.4781 eV per atom. Its crystal system is triclinic. The calculation puts the calculated volume at 82.397 A^3/atom. The calculation puts the final energy at -1.526 eV/atom.

a b c (Å): 8.815 8.572 13.201
angles (deg): 114.73 113.63 86.16
Element x y z (fractional)
Rb 0.222 0.075 0.966
Rb 0.781 0.187 0.984
Rb 0.788 0.933 0.182
Rb 0.232 0.267 0.331
Rb 0.703 0.591 0.355
Rb 0.160 0.710 0.082
Cs 0.842 0.302 0.628
Cs 0.315 0.886 0.566
K 0.427 0.528 0.800
F 0.030 0.025 0.103

[4]
Entry from Alexandria via LeMat-Bulk: a relaxed structure of TbScCuIr (PBE-GGA).

Output
Its crystal system is cubic. Its formation energy is -0.5918 eV per atom. The calculation puts the calculated volume at 18.960 A^3/atom. The calculation puts the final energy at -6.572 eV/atom.

a b c (Å): 4.751 4.751 4.751
angles (deg): 60.00 60.00 60.00
Element x y z (fractional)
Ir 0.750 0.750 0.750
Tb 0.000 0.000 0.000
Cu 0.250 0.250 0.250
Sc 0.500 0.500 0.500